## Li5Ho3I12 (PBE)

Data for a relaxed Li5Ho3I12 crystal.

Calculated values
The volume is 5334 Å³ per cell. As for the magnetization: 9.2 Bohr magnetons per cell. The value obtained for the uncorrected formation energy is -102.5 kJ/mol of atoms. The density is 5.11 g/cm3. As for the total energy: -3.157 eV/atom.

a b c (Å): 17.472 17.472 17.472
angles (deg): 90.00 90.00 90.00
Space group Ia-3d (No. 230)
Inequivalent atoms, fractional coordinates:
Li  0.000  0.000  0.000 (multiplicity 16)
Li  0.000  0.250  0.375 (multiplicity 24)
Ho  0.000  0.250  0.125 (multiplicity 24)
I  0.026  0.065  0.653 (multiplicity 96)